SrTc4Cl | PBE-GGA | optimized geometry

Computed properties:
Space group: No. 216
Uncorrected formation energy, eV per atom: 0.848

a b c (Å): 5.4003 5.4003 5.4003
angles (deg): 60.00 60.00 60.00
Fractional coordinates of all 6 atoms:
Cl (0.7500, 0.7500, 0.7500)
Tc (0.3763, 0.3763, 0.8712)
Tc (0.8712, 0.3763, 0.3763)
Tc (0.3763, 0.3763, 0.3763)
Tc (0.3763, 0.8712, 0.3763)
Sr (0.0000, 0.0000, 0.0000)



Tb7HgPd4 | PBE-GGA | optimized geometry

Computed properties:
Energy relative to the elements, eV/atom: -0.459
Space group: No. 12

a b c (Å): 5.5713 8.6145 7.3713
angles (deg): 73.98 67.80 71.13
Fractional coordinates of all 12 atoms:
Tb (0.2027, 0.1135, 0.4812)
Tb (0.3119, 0.6372, 0.7390)
Tb (0.6881, 0.3628, 0.2610)
Tb (0.7973, 0.8865, 0.5188)
Tb (0.0718, 0.6229, 0.2334)
Tb (0.5000, 0.0000, 0.0000)
Tb (0.9282, 0.3771, 0.7666)
Hg (0.0000, 0.0000, 0.0000)
Pd (0.2987, 0.3391, 0.0636)
Pd (0.5580, 0.2332, 0.6507)
Pd (0.4420, 0.7668, 0.3493)
Pd (0.7013, 0.6609, 0.9364)



LiTa2Ru | PBE-GGA | optimized geometry

Computed properties:
Energy relative to the elements, eV/atom: 0.188
Space group: No. 160

a b c (Å): 9.6173 9.6173 9.6173
angles (deg): 17.13 17.13 17.13
Fractional coordinates of all 4 atoms:
Li (0.4929, 0.4929, 0.4929)
Ru (0.7486, 0.7486, 0.7486)
Ta (0.2508, 0.2508, 0.2508)
Ta (0.0077, 0.0077, 0.0077)



Zn2Cu7Ge | PBE-GGA | optimized geometry

Computed properties:
Distance to the lowest polymorph of the same formula, meV per atom: 0
Energy relative to the elements, eV/atom: 0.110
Space group: No. 156

a b c (Å): 4.0737 4.0737 9.6492
angles (deg): 90.00 90.00 120.00
Fractional coordinates of all 10 atoms:
Zn (0.6667, 0.3333, 0.2579)
Zn (0.3333, 0.6667, 0.6259)
Cu (0.3333, 0.6667, 0.3759)
Cu (0.6667, 0.3333, 0.5322)
Cu (0.3333, 0.6667, 0.1259)
Cu (0.0000, 0.0000, 0.4670)
Cu (0.6667, 0.3333, 0.9589)
Cu (0.0000, 0.0000, 0.7480)
Cu (0.3333, 0.6667, 0.8701)
Ge (0.0000, 0.0000, 0.0217)



ZnRhAu2 | PBE-GGA | optimized geometry

Computed properties:
Energy relative to the elements, eV/atom: -0.072
Space group: No. 44

a b c (Å): 5.2825 5.2825 5.2825
angles (deg): 145.63 128.50 63.39
Fractional coordinates of all 4 atoms:
Rh (0.4826, 0.4826, 0.0000)
Au (0.0153, 0.0153, 0.0000)
Au (0.7472, 0.2472, 0.5000)
Zn (0.2548, 0.7548, 0.5000)



CsBe2SnPb | PBE-GGA | optimized geometry

Computed properties:
Energy relative to the elements, eV/atom: 0.970
Space group: No. 123

a b c (Å): 5.1117 6.3040 5.1117
angles (deg): 90.00 90.00 90.00
Fractional coordinates of all 5 atoms:
Be (0.5000, 0.0000, 0.0000)
Be (0.0000, 0.0000, 0.5000)
Pb (0.0000, 0.0000, 0.0000)
Cs (0.5000, 0.5000, 0.5000)
Sn (0.0000, 0.5000, 0.0000)



EuRh3C | PBE-GGA | optimized geometry

Computed properties:
Energy relative to the elements, eV/atom: -0.214
Space group: No. 221

a b c (Å): 4.2234 4.2234 4.2234
angles (deg): 90.00 90.00 90.00
Each line ends with the local moment (μB).
Fractional coordinates of all 5 atoms:
Rh (0.0000, 0.5000, 0.5000)  -0.12
Rh (0.5000, 0.5000, 0.0000)  -0.12
Rh (0.5000, 0.0000, 0.5000)  -0.12
C (0.5000, 0.5000, 0.5000)  0.01
Eu (0.0000, 0.0000, 0.0000)  6.59



BaSc2Pb | PBE-GGA | optimized geometry

Computed properties:
Energy relative to the elements, eV/atom: 0.100
Space group: No. 12

a b c (Å): 6.6954 6.6954 3.4298
angles (deg): 76.12 76.12 116.84
Fractional coordinates of all 4 atoms:
Pb (0.0000, 0.5000, 0.5000)
Ba (0.5000, 0.0000, 0.5000)
Sc (0.0000, 0.0000, 0.0000)
Sc (0.5000, 0.5000, 0.0000)



LiH2Se | PBE-GGA | optimized geometry

Computed properties:
Distance to the lowest polymorph of the same formula, meV per atom: 301
Space group: No. 225

a b c (Å): 3.8074 3.8074 3.8074
angles (deg): 60.00 60.00 60.00
Fractional coordinates of all 4 atoms:
Li (0.0000, 0.0000, 0.0000)
H (0.2500, 0.2500, 0.2500)
H (0.7500, 0.7500, 0.7500)
Se (0.5000, 0.5000, 0.5000)



CeGa2Cl8 | PBE-GGA | optimized geometry

Computed properties:
Space group: No. 12
Uncorrected formation energy, eV per atom: -1.348

a b c (Å): 6.8018 7.8628 7.8628
angles (deg): 64.38 80.94 80.94
Each line ends with the local moment (μB).
Fractional coordinates of all 11 atoms:
Cl (0.2239, 0.3122, 0.9042)  0.00
Cl (0.2239, 0.9042, 0.3122)  0.00
Cl (0.2179, 0.3625, 0.3625)  0.03
Cl (0.6874, 0.1717, 0.1717)  0.01
Cl (0.7761, 0.0958, 0.6878)  0.00
Cl (0.7761, 0.6878, 0.0958)  0.00
Cl (0.7821, 0.6375, 0.6375)  0.03
Cl (0.3126, 0.8283, 0.8283)  0.01
Ce (0.0000, 0.0000, 0.0000)  1.22
Ga (0.3379, 0.1987, 0.1987)  0.08
Ga (0.6621, 0.8013, 0.8013)  0.08



Ti2CdCo | PBE-GGA | optimized geometry

Computed properties:
Energy relative to the elements, eV/atom: 0.179
Space group: No. 122

a b c (Å): 7.1138 7.1138 5.6976
angles (deg): 51.37 51.37 90.00
Fractional coordinates of all 8 atoms:
Cd (0.0000, 0.0000, 0.0000)
Cd (0.7500, 0.2500, 0.5000)
Co (0.2500, 0.7500, 0.5000)
Co (0.5000, 0.5000, 0.0000)
Ti (0.3750, 0.4315, 0.7500)
Ti (0.8750, 0.8185, 0.7500)
Ti (0.5685, 0.1250, 0.2500)
Ti (0.1815, 0.6250, 0.2500)



TiGeRh3 | PBE-GGA | optimized geometry

Computed properties:
Distance to the lowest polymorph of the same formula, meV per atom: 1228
Energy relative to the elements, eV/atom: 0.580
Space group: No. 221

a b c (Å): 4.5502 4.5502 4.5502
angles (deg): 90.00 90.00 90.00
Fractional coordinates of all 5 atoms:
Ge (0.5000, 0.5000, 0.5000)
Rh (0.0000, 0.0000, 0.5000)
Rh (0.0000, 0.5000, 0.0000)
Rh (0.5000, 0.0000, 0.0000)
Ti (0.0000, 0.0000, 0.0000)



Th3ZnC3 | PBE-GGA | optimized geometry

Computed properties:
Energy relative to the elements, eV/atom: -0.164
Space group: No. 176

a b c (Å): 5.4207 7.5716 7.5716
angles (deg): 120.00 90.00 90.00
Fractional coordinates of all 14 atoms:
Th (0.2500, 0.6374, 0.9296)
Th (0.2500, 0.0704, 0.7079)
Th (0.7500, 0.3626, 0.0704)
Th (0.7500, 0.9296, 0.2921)
Th (0.7500, 0.7079, 0.6374)
Th (0.2500, 0.2921, 0.3626)
C (0.7500, 0.6313, 0.9361)
C (0.2500, 0.6952, 0.6313)
C (0.2500, 0.9361, 0.3048)
C (0.2500, 0.3687, 0.0639)
C (0.7500, 0.0639, 0.6952)
C (0.7500, 0.3048, 0.3687)
Zn (0.2500, 0.6667, 0.3333)
Zn (0.7500, 0.3333, 0.6667)



KInPb2S4 | PBE-GGA | optimized geometry

Computed properties:
Space group: No. 74
Uncorrected formation energy, eV per atom: -0.587

a b c (Å): 8.3836 8.3836 8.3425
angles (deg): 119.84 119.84 89.67
Fractional coordinates of all 16 atoms:
Pb (0.5000, 0.0000, 0.0000)
Pb (0.0000, 0.0000, 0.5000)
Pb (0.5000, 0.0000, 0.5000)
Pb (0.5000, 0.5000, 0.0000)
K (0.0000, 0.5000, 0.0000)
K (0.0000, 0.5000, 0.5000)
In (0.0000, 0.0000, 0.0000)
In (0.5000, 0.5000, 0.5000)
S (0.7465, 0.7535, 0.5055)
S (0.2535, 0.2465, 0.4945)
S (0.2926, 0.7243, 0.5084)
S (0.2535, 0.2465, 0.0055)
S (0.7074, 0.2757, 0.4916)
S (0.7465, 0.7535, 0.9945)
S (0.7757, 0.2074, 0.9916)
S (0.2243, 0.7926, 0.0084)



Au4I3Br2 | PBE-GGA | optimized geometry

Computed properties:
Space group: No. 15
Uncorrected formation energy, eV per atom: -0.012

a b c (Å): 16.1495 8.5568 8.5568
angles (deg): 58.36 125.96 125.96
Each line ends with the local moment (μB).
Fractional coordinates of all 18 atoms:
I (0.4497, 0.1621, 0.0206)  -0.14
I (0.2500, 0.5548, 0.4452)  0.00
I (0.9497, 0.0206, 0.1621)  -0.14
I (0.7500, 0.4452, 0.5548)  0.00
I (0.0503, 0.9794, 0.8379)  -0.14
I (0.5503, 0.8379, 0.9794)  -0.14
Au (0.4558, 0.4276, 0.1256)  -0.14
Au (0.8088, 0.3992, 0.9229)  -0.01
Au (0.5442, 0.5724, 0.8744)  -0.14
Au (0.1912, 0.6008, 0.0771)  -0.01
Au (0.6912, 0.0771, 0.6008)  -0.01
Au (0.3088, 0.9229, 0.3992)  -0.01
Au (0.9558, 0.1256, 0.4276)  -0.14
Au (0.0442, 0.8744, 0.5724)  -0.14
Br (0.6359, 0.7285, 0.6378)  -0.03
Br (0.1359, 0.6378, 0.7285)  -0.03
Br (0.8641, 0.3622, 0.2715)  -0.03
Br (0.3641, 0.2715, 0.3622)  -0.03



ZrNbSe3 | PBE-GGA | optimized geometry

Computed properties:
Distance to the lowest polymorph of the same formula, meV per atom: 766
Space group: No. 221
Uncorrected formation energy, eV per atom: -0.030

a b c (Å): 5.0016 5.0016 5.0016
angles (deg): 90.00 90.00 90.00
Each line ends with the local moment (μB).
Fractional coordinates of all 5 atoms:
Se (0.0000, 0.0000, 0.5000)  -0.06
Se (0.5000, 0.0000, 0.0000)  -0.05
Se (0.0000, 0.5000, 0.0000)  -0.08
Nb (0.0000, 0.0000, 0.0000)  0.27
Zr (0.5000, 0.5000, 0.5000)  1.24



Hg2PSe | PBE-GGA | optimized geometry

Computed properties:
Space group: No. 35
Uncorrected formation energy, eV per atom: 0.202

a b c (Å): 3.8077 3.8077 10.8029
angles (deg): 90.00 90.00 129.04
Fractional coordinates of all 4 atoms:
P (0.0000, 0.0000, 0.4591)
Se (0.5000, 0.5000, 0.3137)
Hg (0.5000, 0.5000, 0.7199)
Hg (0.0000, 0.0000, 0.0073)



CsScAl2Ge | PBE-GGA | optimized geometry

Computed properties:
Energy relative to the elements, eV/atom: 0.875
Space group: No. 123

a b c (Å): 5.0378 6.0687 5.0378
angles (deg): 90.00 90.00 90.00
Fractional coordinates of all 5 atoms:
Al (0.5000, 0.0000, 0.0000)
Al (0.0000, 0.0000, 0.5000)
Cs (0.0000, 0.5000, 0.0000)
Ge (0.0000, 0.0000, 0.0000)
Sc (0.5000, 0.5000, 0.5000)



LaYGe | PBE-GGA | optimized geometry

Computed properties:
Distance to the lowest polymorph of the same formula, meV per atom: 175
Energy relative to the elements, eV/atom: -0.485
Space group: No. 12

a b c (Å): 4.4478 5.3064 8.3384
angles (deg): 105.95 90.00 114.78
Fractional coordinates of all 6 atoms:
La (0.3899, 0.7798, 0.0924)
La (0.6101, 0.2202, 0.9076)
Y (0.1822, 0.3644, 0.6190)
Y (0.8178, 0.6356, 0.3810)
Ge (0.1164, 0.2329, 0.2378)
Ge (0.8836, 0.7671, 0.7622)



KTiOF2 | PBE-GGA | optimized geometry

Computed properties:
Distance to the lowest polymorph of the same formula, meV per atom: 2186
Space group: No. 123
Uncorrected formation energy, eV per atom: -0.701

a b c (Å): 4.5131 4.5131 4.5539
angles (deg): 90.00 90.00 90.00
Each line ends with the local moment (μB).
Fractional coordinates of all 5 atoms:
K (0.0000, 0.0000, 0.0000)  0.06
O (0.0000, 0.0000, 0.5000)  0.77
Ti (0.5000, 0.5000, 0.5000)  -1.77
F (0.5000, 0.0000, 0.0000)  0.02
F (0.0000, 0.5000, 0.0000)  0.02



PmSm6In5 | PBE-GGA | optimized geometry

Computed properties:
Distance to the lowest polymorph of the same formula, meV per atom: 13
Energy relative to the elements, eV/atom: -0.380
Space group: No. 65

a b c (Å): 10.0225 5.1440 8.3196
angles (deg): 71.99 80.88 59.16
Fractional coordinates of all 12 atoms:
In (0.5000, 0.5000, 0.0000)
In (0.5000, 0.1712, 0.6576)
In (0.5000, 0.8288, 0.3424)
In (0.0000, 0.6476, 0.7049)
In (0.0000, 0.3524, 0.2951)
Sm (0.2726, 0.2272, 0.0000)
Sm (0.2496, 0.9230, 0.6546)
Sm (0.7504, 0.0770, 0.3454)
Sm (0.7504, 0.4224, 0.6546)
Sm (0.7274, 0.7728, 0.0000)
Sm (0.2496, 0.5776, 0.3454)
Pm (0.0000, 0.0000, 0.0000)



Pu2ZnCu3 | PBE-GGA | optimized geometry

Computed properties:
Energy relative to the elements, eV/atom: -0.081
Space group: No. 194

a b c (Å): 5.3488 5.3488 8.4021
angles (deg): 90.00 90.00 120.00
Each line ends with the local moment (μB).
Fractional coordinates of all 12 atoms:
Cu (0.8330, 0.1670, 0.7500)  0.04
Cu (0.3340, 0.1670, 0.7500)  0.04
Cu (0.1670, 0.3340, 0.2500)  0.04
Cu (0.8330, 0.6660, 0.7500)  0.04
Cu (0.1670, 0.8330, 0.2500)  0.04
Cu (0.6660, 0.8330, 0.2500)  0.04
Pu (0.6667, 0.3333, 0.0598)  5.39
Pu (0.6667, 0.3333, 0.4402)  5.39
Pu (0.3333, 0.6667, 0.9402)  5.39
Pu (0.3333, 0.6667, 0.5598)  5.39
Zn (0.0000, 0.0000, 0.5000)  0.02
Zn (0.0000, 0.0000, 0.0000)  0.02



LiLaTa2Pt | PBE-GGA | optimized geometry

Computed properties:
Distance to the lowest polymorph of the same formula, meV per atom: 0
Energy relative to the elements, eV/atom: 0.752
Space group: No. 123

a b c (Å): 4.9725 5.6962 4.9725
angles (deg): 90.00 90.00 90.00
Fractional coordinates of all 5 atoms:
La (0.0000, 0.5000, 0.0000)
Ta (0.5000, 0.0000, 0.0000)
Ta (0.0000, 0.0000, 0.5000)
Pt (0.0000, 0.0000, 0.0000)
Li (0.5000, 0.5000, 0.5000)



ScRe2Ag | PBE-GGA | optimized geometry

Computed properties:
Distance to the lowest polymorph of the same formula, meV per atom: 421
Energy relative to the elements, eV/atom: 0.461
Space group: No. 166

a b c (Å): 9.8163 9.8163 9.8163
angles (deg): 16.57 16.57 16.57
Fractional coordinates of all 4 atoms:
Ag (0.7500, 0.7500, 0.7500)
Re (0.9995, 0.9995, 0.9995)
Re (0.5005, 0.5005, 0.5005)
Sc (0.2500, 0.2500, 0.2500)



Pr5Hg2Ru | PBE-GGA | optimized geometry

Computed properties:
Distance to the lowest polymorph of the same formula, meV per atom: 0
Energy relative to the elements, eV/atom: -0.322
Space group: No. 55

a b c (Å): 4.8704 8.1275 12.1599
angles (deg): 90.00 90.00 90.00
Fractional coordinates of all 16 atoms:
Pr (0.0000, 0.0000, 0.5000)
Pr (0.0000, 0.3553, 0.2977)
Pr (0.0000, 0.1447, 0.7977)
Pr (0.0000, 0.8553, 0.2023)
Pr (0.5000, 0.3179, 0.5736)
Pr (0.5000, 0.8179, 0.9264)
Pr (0.5000, 0.6821, 0.4264)
Pr (0.5000, 0.1821, 0.0736)
Pr (0.0000, 0.6447, 0.7023)
Pr (0.0000, 0.5000, 0.0000)
Hg (0.5000, 0.0726, 0.3330)
Hg (0.5000, 0.4274, 0.8330)
Hg (0.5000, 0.9274, 0.6670)
Hg (0.5000, 0.5726, 0.1670)
Ru (0.0000, 0.0000, 0.0000)
Ru (0.0000, 0.5000, 0.5000)